(1)
A plane-wave DFT calculation with GGA-PBEsol was carried out for a relaxed NaHPd3 crystal.

Lattice parameters (Å, degrees): 4.6042 4.6042 4.6042 90.00 90.00 90.00
Last column: nearest neighbours and their distance in Å.
Space group Pm-3m (No. 221)
Asymmetric unit:
Na 0.0000 0.0000 0.0000 (multiplicity 1)  6 Pd 2.30
H 0.5000 0.5000 0.5000 (multiplicity 1)  12 Pd 3.26
Pd 0.0000 0.0000 0.5000 (multiplicity 3)  2 Na 2.30

Computed properties:
Calculated volume, Å³ per cell: 97.6
D(E_F), states/eV/cell: 7.776
Magnetization, μB/atom: 0.0003

***

(2)
A plane-wave DFT calculation with GGA-PBEsol was carried out for a relaxed NaHPd3 crystal.

Lattice parameters (Å, degrees): 2.7489 5.5874 8.2663 90.00 90.00 90.00
Last column: nearest neighbours and their distance in Å.
Space group Amm2 (No. 38)
Asymmetric unit:
Na 0.0000 0.0000 0.0000 (multiplicity 2)  1 H 2.41
H 0.0000 0.0000 0.2919 (multiplicity 2)  5 Pd 1.83-1.99
Pd 0.0000 0.0000 0.5134 (multiplicity 2)  1 H 1.83
Pd 0.5000 0.2500 0.2532 (multiplicity 4)  2 H 1.99

Computed properties:
Calculated volume, Å³ per cell: 127.0
D(E_F), states/eV/cell: 5.944
Magnetization, μB/atom: 0.0000

***

(3)
A plane-wave DFT calculation with GGA-PBEsol was carried out for a relaxed NaHPd3 crystal.

Lattice parameters (Å, degrees): 3.9979 3.9979 3.9979 90.00 90.00 90.00
Last column: nearest neighbours and their distance in Å.
Space group Pm-3m (No. 221)
Asymmetric unit:
Na 0.0000 0.0000 0.0000 (multiplicity 1)  12 Pd 2.83
H 0.5000 0.5000 0.5000 (multiplicity 1)  6 Pd 2.00
Pd 0.0000 0.5000 0.5000 (multiplicity 3)  2 H 2.00

Computed properties:
Calculated volume, Å³ per cell: 63.9
D(E_F), states/eV/cell: 4.206
Magnetization, μB/atom: 0.0001

***

Verdict on stability: (1) comes out at the bottom.